Record 1
NaLiHo2Au4: relaxed, PBE.

The space group is R-3m (No. 166, hexagonal axes) and the conventional cell measures 4.9320, 4.9320 and 23.8138 Å, with angles of 90.00, 90.00 and 120.00 degrees. Symmetry generates all atoms from Na at (0.0000, 0.0000, 0.0000), Li at (0.0000, 0.0000, 0.5000), Ho at (0.0000, 0.0000, 0.2495), Au at (0.0000, 0.0000, 0.1264) and Au at (0.0000, 0.0000, 0.3802).

Its volume is 20.9 Å³/atom. The calculation puts the formation energy at -15.1 kcal/mol of atoms. As for the energy: -3.842 eV per atom. The magnetization comes out at 0.00 μB per formula unit.

=====

Record 2
LiNdHoAu: relaxed, PBE.

The space group is Pmmm (No. 47) and the conventional cell measures 3.7233, 5.1032 and 5.1587 Å, with angles of 90.00, 90.00 and 90.00 degrees. Symmetry generates all atoms from Li at (0.0000, 0.0000, 0.0000), Nd at (0.5000, 0.5000, 0.0000), Ho at (0.5000, 0.0000, 0.5000) and Au at (0.0000, 0.5000, 0.5000).

Its volume is 24.5 Å³/atom. Its energy relative to the lowest polymorph listed for this composition is 0.0000 eV/atom. The calculation puts the formation energy at -8.8 kcal/mol of atoms. As for the energy: -4.015 eV per atom. The magnetization comes out at 0.00 μB per formula unit.

=====

Record 3
LiNdHoAu: relaxed, PBE.

The space group is F-43m (No. 216) and the conventional cell measures 7.3305, 7.3305 and 7.3305 Å, with angles of 90.00, 90.00 and 90.00 degrees. Symmetry generates all atoms from Li at (0.0000, 0.0000, 0.0000), Nd at (0.2500, 0.2500, 0.7500), Ho at (0.2500, 0.2500, 0.2500) and Au at (0.0000, 0.0000, 0.5000).

Its volume is 24.6 Å³/atom. Its energy relative to the lowest polymorph listed for this composition is 0.0164 eV/atom. The calculation puts the formation energy at -8.4 kcal/mol of atoms. As for the energy: -3.999 eV per atom. The magnetization comes out at 0.00 μB per formula unit.

=====

Record 4
LiHoNiAu: relaxed, PBE.

The space group is F-43m (No. 216) and the conventional cell measures 6.6267, 6.6267 and 6.6267 Å, with angles of 90.00, 90.00 and 90.00 degrees. Symmetry generates all atoms from Li at (0.0000, 0.0000, 0.0000), Ho at (0.0000, 0.0000, 0.5000), Ni at (0.2500, 0.2500, 0.2500) and Au at (0.2500, 0.2500, 0.7500).

Its volume is 18.2 Å³/atom. The calculation puts the formation energy at -9.2 kcal/mol of atoms. As for the energy: -4.288 eV per atom. The magnetization comes out at 0.00 μB per formula unit.

=====

Record 5
Li3Ho2AuO6: relaxed, PBE.

The space group is C2/m (No. 12) and the conventional cell measures 5.6577, 9.8908 and 5.4411 Å, with angles of 90.00, 108.44 and 90.00 degrees. Symmetry generates all atoms from Li at (0.0000, 0.0000, 0.0000), Li at (0.0000, 0.3332, 0.0000), Ho at (0.0000, 0.1724, 0.5000), Au at (0.0000, 0.5000, 0.5000), O at (0.2378, 0.1758, 0.2411) and O at (0.2382, 0.5000, 0.2801).

The calculation puts the uncorrected formation energy at -2077 meV/atom. Its volume is 12.0 Å³/atom. As for the energy: -6.070 eV per atom. The magnetization comes out at 0.00 μB per formula unit.

=====

Record 6
LiHo2AuO5: relaxed, PBE.

The space group is P4/mbm (No. 127) and the conventional cell measures 6.4806, 6.4806 and 5.8674 Å, with angles of 90.00, 90.00 and 90.00 degrees. Symmetry generates all atoms from Li at (0.0000, 0.0000, 0.0000), Ho at (0.1768, 0.3232, 0.5000), Au at (0.0000, 0.5000, 0.0000), O at (0.0000, 0.0000, 0.5000) and O at (0.1388, 0.6388, 0.2610).

The calculation puts the uncorrected formation energy at -2185 meV/atom. Its volume is 13.7 Å³/atom. As for the energy: -6.533 eV per atom. The magnetization comes out at 0.00 μB per formula unit.

=====

Record 7
LiPrHoAu: relaxed, PBE.

The space group is F-43m (No. 216) and the conventional cell measures 7.3616, 7.3616 and 7.3616 Å, with angles of 90.00, 90.00 and 90.00 degrees. Symmetry generates all atoms from Li at (0.0000, 0.0000, 0.0000), Pr at (0.2500, 0.2500, 0.7500), Ho at (0.2500, 0.2500, 0.2500) and Au at (0.0000, 0.0000, 0.5000).

Its volume is 24.9 Å³/atom. The calculation puts the formation energy at -8.2 kcal/mol of atoms. As for the energy: -3.991 eV per atom. The magnetization comes out at 0.00 μB per formula unit.

=====

Record 8
LiHoPtAu: relaxed, PBE.

The space group is F-43m (No. 216) and the conventional cell measures 6.7293, 6.7293 and 6.7293 Å, with angles of 90.00, 90.00 and 90.00 degrees. Symmetry generates all atoms from Li at (0.0000, 0.0000, 0.0000), Ho at (0.0000, 0.0000, 0.5000), Pt at (0.2500, 0.2500, 0.2500) and Au at (0.2500, 0.2500, 0.7500).

Its volume is 19.0 Å³/atom. The calculation puts the formation energy at -19.1 kcal/mol of atoms. As for the energy: -4.779 eV per atom. The magnetization comes out at 0.00 μB per formula unit.

=====

Record 9
LiHoPuAu: relaxed, PBE.

The space group is F-43m (No. 216) and the conventional cell measures 7.2275, 7.2275 and 7.2275 Å, with angles of 90.00, 90.00 and 90.00 degrees. Symmetry generates all atoms from Li at (0.0000, 0.0000, 0.0000), Ho at (0.2500, 0.2500, 0.7500), Pu at (0.2500, 0.2500, 0.2500) and Au at (0.0000, 0.0000, 0.5000).

Its volume is 23.6 Å³/atom. The calculation puts the formation energy at -4.0 kcal/mol of atoms. As for the energy: -6.200 eV per atom. The magnetization comes out at 5.95 μB per formula unit.

=====

Record 10
LiHo2PuAu4: relaxed, PBE.

The space group is R-3m (No. 166, hexagonal axes) and the conventional cell measures 4.9989, 4.9989 and 24.4183 Å, with angles of 90.00, 90.00 and 120.00 degrees. Symmetry generates all atoms from Li at (0.0000, 0.0000, 0.0000), Ho at (0.0000, 0.0000, 0.2550), Pu at (0.0000, 0.0000, 0.5000), Au at (0.0000, 0.0000, 0.1193) and Au at (0.0000, 0.0000, 0.3759).

Its volume is 22.0 Å³/atom. The calculation puts the formation energy at -15.0 kcal/mol of atoms. As for the energy: -5.465 eV per atom. The magnetization comes out at 5.76 μB per formula unit.

=====

Record 11
LiHoSbAu: relaxed, PBE.

The space group is F-43m (No. 216) and the conventional cell measures 7.0977, 7.0977 and 7.0977 Å, with angles of 90.00, 90.00 and 90.00 degrees. Symmetry generates all atoms from Li at (0.0000, 0.0000, 0.0000), Ho at (0.0000, 0.0000, 0.5000), Sb at (0.2500, 0.2500, 0.2500) and Au at (0.2500, 0.2500, 0.7500).

The calculation puts the uncorrected formation energy at -740 meV/atom. Its volume is 22.3 Å³/atom. As for the energy: -4.213 eV per atom. The magnetization comes out at 0.00 μB per formula unit.

=====

Record 12
LiHoSc2Au4: relaxed, PBE.

The space group is R-3m (No. 166, hexagonal axes) and the conventional cell measures 4.7653, 4.7653 and 24.1546 Å, with angles of 90.00, 90.00 and 120.00 degrees. Symmetry generates all atoms from Li at (0.0000, 0.0000, 0.0000), Ho at (0.0000, 0.0000, 0.5000), Sc at (0.0000, 0.0000, 0.2574), Au at (0.0000, 0.0000, 0.1137) and Au at (0.0000, 0.0000, 0.3761).

Its volume is 19.8 Å³/atom. The calculation puts the formation energy at -17.1 kcal/mol of atoms. As for the energy: -4.776 eV per atom. The magnetization comes out at 0.00 μB per formula unit.

=====

Record 13
LiHoSiAu: relaxed, PBE.

The space group is F-43m (No. 216) and the conventional cell measures 6.7469, 6.7469 and 6.7469 Å, with angles of 90.00, 90.00 and 90.00 degrees. Symmetry generates all atoms from Li at (0.0000, 0.0000, 0.0000), Ho at (0.0000, 0.0000, 0.5000), Si at (0.2500, 0.2500, 0.7500) and Au at (0.2500, 0.2500, 0.2500).

The calculation puts the uncorrected formation energy at -540 meV/atom. Its volume is 19.2 Å³/atom. As for the energy: -4.338 eV per atom. The magnetization comes out at 0.00 μB per formula unit.

=====

Record 14
LiHoSi2Au2: relaxed, PBE.

The space group is P-3m1 (No. 164) and the conventional cell measures 4.3101, 4.3101 and 6.6276 Å, with angles of 90.00, 90.00 and 120.00 degrees. Symmetry generates all atoms from Li at (0.0000, 0.0000, 0.0000), Ho at (0.0000, 0.0000, 0.5000), Si at (0.3333, 0.6667, 0.2212) and Au at (0.3333, 0.6667, 0.7993).

The calculation puts the uncorrected formation energy at -590 meV/atom. Its volume is 17.8 Å³/atom. As for the energy: -4.572 eV per atom. The magnetization comes out at 0.00 μB per formula unit.

=====

Record 15
LiSmHo2Au4: relaxed, PBE.

The space group is R-3m (No. 166, hexagonal axes) and the conventional cell measures 4.9868, 4.9868 and 24.7453 Å, with angles of 90.00, 90.00 and 120.00 degrees. Symmetry generates all atoms from Li at (0.0000, 0.0000, 0.0000), Sm at (0.0000, 0.0000, 0.5000), Ho at (0.0000, 0.0000, 0.2585), Au at (0.0000, 0.0000, 0.1168) and Au at (0.0000, 0.0000, 0.3781).

Its volume is 22.2 Å³/atom. The calculation puts the formation energy at -17.5 kcal/mol of atoms. As for the energy: -4.373 eV per atom. The magnetization comes out at 0.00 μB per formula unit.

=====

Record 16
SrLiHo2Au4: relaxed, PBE.

The space group is R-3m (No. 166, hexagonal axes) and the conventional cell measures 4.9711, 4.9711 and 26.7221 Å, with angles of 90.00, 90.00 and 120.00 degrees. Symmetry generates all atoms from Sr at (0.0000, 0.0000, 0.0000), Li at (0.0000, 0.0000, 0.5000), Ho at (0.0000, 0.0000, 0.2329), Au at (0.0000, 0.0000, 0.1226) and Au at (0.0000, 0.0000, 0.3993).

Its volume is 23.8 Å³/atom. The calculation puts the formation energy at -16.6 kcal/mol of atoms. As for the energy: -3.951 eV per atom. The magnetization comes out at 0.00 μB per formula unit.

=====

Record 17
SrLi2HoAu4: relaxed, PBE.

The space group is R-3m (No. 166, hexagonal axes) and the conventional cell measures 4.5919, 4.5919 and 29.0555 Å, with angles of 90.00, 90.00 and 120.00 degrees. Symmetry generates all atoms from Sr at (0.0000, 0.0000, 0.0000), Li at (0.0000, 0.0000, 0.2436), Ho at (0.0000, 0.0000, 0.5000), Au at (0.0000, 0.0000, 0.1160) and Au at (0.0000, 0.0000, 0.3991).

Its volume is 22.1 Å³/atom. The calculation puts the formation energy at -15.7 kcal/mol of atoms. As for the energy: -3.581 eV per atom. The magnetization comes out at 0.00 μB per formula unit.

=====

Record 18
LiTbHo2Au4: relaxed, PBE.

The space group is R-3m (No. 166, hexagonal axes) and the conventional cell measures 4.9831, 4.9831 and 24.4572 Å, with angles of 90.00, 90.00 and 120.00 degrees. Symmetry generates all atoms from Li at (0.0000, 0.0000, 0.0000), Tb at (0.0000, 0.0000, 0.5000), Ho at (0.0000, 0.0000, 0.2565), Au at (0.0000, 0.0000, 0.1259) and Au at (0.0000, 0.0000, 0.3780).

Its volume is 21.9 Å³/atom. The calculation puts the formation energy at -18.0 kcal/mol of atoms. As for the energy: -4.383 eV per atom. The magnetization comes out at 0.00 μB per formula unit.

=====

Record 19
LiHoThAu: relaxed, PBE.

The space group is F-43m (No. 216) and the conventional cell measures 7.3215, 7.3215 and 7.3215 Å, with angles of 90.00, 90.00 and 90.00 degrees. Symmetry generates all atoms from Li at (0.0000, 0.0000, 0.0000), Ho at (0.2500, 0.2500, 0.7500), Th at (0.2500, 0.2500, 0.2500) and Au at (0.0000, 0.0000, 0.5000).

Its volume is 24.5 Å³/atom. The calculation puts the formation energy at -5.2 kcal/mol of atoms. As for the energy: -4.523 eV per atom. The magnetization comes out at 0.30 μB per formula unit.

=====

Record 20
Li2HoTmAu4: relaxed, PBE.

The space group is R-3m (No. 166, hexagonal axes) and the conventional cell measures 4.8637, 4.8637 and 23.2655 Å, with angles of 90.00, 90.00 and 120.00 degrees. Symmetry generates all atoms from Li at (0.0000, 0.0000, 0.2499), Ho at (0.0000, 0.0000, 0.0000), Tm at (0.0000, 0.0000, 0.5000), Au at (0.0000, 0.0000, 0.1280) and Au at (0.0000, 0.0000, 0.3735).

Its volume is 19.9 Å³/atom. The calculation puts the formation energy at -16.7 kcal/mol of atoms. As for the energy: -3.973 eV per atom. The magnetization comes out at 0.00 μB per formula unit.

=====

Record 21
LiHo2TmAu4: relaxed, PBE.

The space group is R-3m (No. 166, hexagonal axes) and the conventional cell measures 4.9539, 4.9539 and 24.4079 Å, with angles of 90.00, 90.00 and 120.00 degrees. Symmetry generates all atoms from Li at (0.0000, 0.0000, 0.0000), Ho at (0.0000, 0.0000, 0.2558), Tm at (0.0000, 0.0000, 0.5000), Au at (0.0000, 0.0000, 0.1293) and Au at (0.0000, 0.0000, 0.3781).

Its volume is 21.6 Å³/atom. The calculation puts the formation energy at -18.5 kcal/mol of atoms. As for the energy: -4.382 eV per atom. The magnetization comes out at 0.00 μB per formula unit.

=====

Record 22
LiY2HoAu4: relaxed, PBE.

The space group is R-3m (No. 166, hexagonal axes) and the conventional cell measures 4.9889, 4.9889 and 24.5790 Å, with angles of 90.00, 90.00 and 120.00 degrees. Symmetry generates all atoms from Li at (0.0000, 0.0000, 0.0000), Y at (0.0000, 0.0000, 0.2562), Ho at (0.0000, 0.0000, 0.5000), Au at (0.0000, 0.0000, 0.1294) and Au at (0.0000, 0.0000, 0.3782).

Its volume is 22.1 Å³/atom. The calculation puts the formation energy at -18.2 kcal/mol of atoms. As for the energy: -4.854 eV per atom. The magnetization comes out at 0.00 μB per formula unit.

=====

Record 23
LiYHo2Au4: relaxed, PBE.

The space group is R-3m (No. 166, hexagonal axes) and the conventional cell measures 4.9734, 4.9734 and 24.5155 Å, with angles of 90.00, 90.00 and 120.00 degrees. Symmetry generates all atoms from Li at (0.0000, 0.0000, 0.0000), Y at (0.0000, 0.0000, 0.5000), Ho at (0.0000, 0.0000, 0.2562), Au at (0.0000, 0.0000, 0.1266) and Au at (0.0000, 0.0000, 0.3776).

Its volume is 21.9 Å³/atom. The calculation puts the formation energy at -18.1 kcal/mol of atoms. As for the energy: -4.613 eV per atom. The magnetization comes out at 0.00 μB per formula unit.

=====

Record 24
LiHo2ZnAu4: relaxed, PBE.

The space group is R-3m (No. 166, hexagonal axes) and the conventional cell measures 4.9105, 4.9105 and 22.8994 Å, with angles of 90.00, 90.00 and 120.00 degrees. Symmetry generates all atoms from Li at (0.0000, 0.0000, 0.0000), Ho at (0.0000, 0.0000, 0.2471), Zn at (0.0000, 0.0000, 0.5000), Au at (0.0000, 0.0000, 0.1185) and Au at (0.0000, 0.0000, 0.3770).

Its volume is 19.9 Å³/atom. The calculation puts the formation energy at -15.7 kcal/mol of atoms. As for the energy: -3.864 eV per atom. The magnetization comes out at 0.00 μB per formula unit.

=====

Record 25
LiHoZnAu: relaxed, PBE.

The space group is F-43m (No. 216) and the conventional cell measures 6.7929, 6.7929 and 6.7929 Å, with angles of 90.00, 90.00 and 90.00 degrees. Symmetry generates all atoms from Li at (0.0000, 0.0000, 0.0000), Ho at (0.0000, 0.0000, 0.5000), Zn at (0.2500, 0.2500, 0.7500) and Au at (0.2500, 0.2500, 0.2500).

Its volume is 19.6 Å³/atom. The calculation puts the formation energy at -10.8 kcal/mol of atoms. As for the energy: -3.230 eV per atom. The magnetization comes out at 0.00 μB per formula unit.

=====

Record 26
HoLuAu: relaxed, PBE.

The space group is F-43m (No. 216) and the conventional cell measures 6.9412, 6.9412 and 6.9412 Å, with angles of 90.00, 90.00 and 90.00 degrees. Symmetry generates all atoms from Ho at (0.0000, 0.0000, 0.0000), Lu at (0.0000, 0.0000, 0.5000) and Au at (0.2500, 0.2500, 0.2500).

Its volume is 27.9 Å³/atom. Its energy relative to the lowest polymorph listed for this composition is 0.0711 eV/atom. The calculation puts the formation energy at -11.1 kcal/mol of atoms. As for the energy: -4.605 eV per atom. The magnetization comes out at 0.00 μB per formula unit.